(1)
{
  "formula": "InHgIr2",
  "functional": "PBE-GGA",
  "state": "optimized geometry",
  "crystal_system": "tetragonal",
  "de_polymorph_ev_per_atom": 0.000,
  "n_ef_per_ev_cell": 1.3,
  "ef_kj_per_mol_fu": 108,
  "cell": [[3.245, 0.000, 0.000], [0.000, 3.245, 0.000], [0.000, 0.000, 6.598]],
  "species": ["In", "Hg", "Ir", "Ir"],
  "frac_coords": [[0.000, 0.000, 0.000], [0.000, 0.000, 0.500], [0.500, 0.500, 0.239], [0.500, 0.500, 0.761]]
}



(2)
{
  "formula": "In2HgIr",
  "functional": "PBE-GGA",
  "state": "optimized geometry",
  "crystal_system": "monoclinic",
  "n_ef_per_ev_cell": 2.4,
  "ef_kj_per_mol_fu": 4,
  "cell": [[6.973, -1.498, 0.000], [6.973, 1.498, 0.000], [-1.483, 0.000, 4.315]],
  "species": ["In", "In", "Hg", "Ir"],
  "frac_coords": [[0.000, 0.000, 0.000], [0.193, 0.193, 0.693], [0.376, 0.376, 0.377], [0.679, 0.679, 0.179]]
}



(3)
{
  "formula": "InHgIr2",
  "functional": "PBE-GGA",
  "state": "optimized geometry",
  "crystal_system": "monoclinic",
  "de_polymorph_ev_per_atom": 0.116,
  "n_ef_per_ev_cell": 1.5,
  "ef_kj_per_mol_fu": 152,
  "cell": [[2.972, 0.000, 0.000], [0.000, 4.650, 0.000], [-0.143, 0.000, 5.228]],
  "species": ["In", "Hg", "Ir", "Ir"],
  "frac_coords": [[0.000, 0.000, 0.000], [0.500, 0.000, 0.500], [0.284, 0.500, 0.224], [0.716, 0.500, 0.776]]
}



(4)
{
  "formula": "InHgIr4",
  "functional": "PBE-GGA",
  "state": "optimized geometry",
  "crystal_system": "cubic",
  "n_ef_per_ev_cell": 5.9,
  "ef_kj_per_mol_fu": 239,
  "cell": [[0.000, 3.742, 3.742], [3.742, 0.000, 3.742], [3.742, 3.742, 0.000]],
  "species": ["In", "Hg", "Ir", "Ir", "Ir", "Ir"],
  "frac_coords": [[0.000, 0.000, 0.000], [0.250, 0.250, 0.250], [0.125, 0.625, 0.625], [0.625, 0.125, 0.625], [0.625, 0.625, 0.125], [0.625, 0.625, 0.625]]
}



(5)
{
  "formula": "InHgIr",
  "functional": "PBE-GGA",
  "state": "optimized geometry",
  "crystal_system": "tetragonal",
  "de_polymorph_ev_per_atom": 0.111,
  "n_ef_per_ev_cell": 1.5,
  "ef_kj_per_mol_fu": 78,
  "cell": [[-1.555, 1.555, 6.132], [1.555, -1.555, 6.132], [1.555, 1.555, -6.132]],
  "species": ["In", "Hg", "Ir"],
  "frac_coords": [[0.000, 0.000, 0.000], [0.704, 0.704, 0.000], [0.364, 0.364, 0.000]]
}



(6)
{
  "formula": "In3HgIr",
  "functional": "PBE-GGA",
  "state": "optimized geometry",
  "crystal_system": "orthorhombic",
  "de_polymorph_ev_per_atom": 0.177,
  "n_ef_per_ev_cell": 9.1,
  "ef_kj_per_mol_fu": 20,
  "cell": [[5.224, 0.000, 0.000], [0.000, 8.596, 0.000], [0.000, 0.000, 10.265]],
  "species": ["In", "In", "In", "In", "In", "In", "In", "In", "In", "In", "In", "In", "Hg", "Hg", "Hg", "Hg", "Ir", "Ir", "Ir", "Ir"],
  "frac_coords": [[0.009, 0.069, 0.152], [0.009, 0.431, 0.152], [0.165, 0.750, 0.333], [0.335, 0.250, 0.833], [0.491, 0.569, 0.652], [0.491, 0.931, 0.652], [0.509, 0.069, 0.348], [0.509, 0.431, 0.348], [0.665, 0.750, 0.167], [0.835, 0.250, 0.667], [0.991, 0.569, 0.848], [0.991, 0.931, 0.848], [0.000, 0.000, 0.500], [0.000, 0.500, 0.500], [0.500, 0.000, 0.000], [0.500, 0.500, 0.000], [0.154, 0.750, 0.065], [0.346, 0.250, 0.565], [0.654, 0.750, 0.435], [0.846, 0.250, 0.935]]
}